[1]
An optimized crystal structure of HfMg6CrO8, computed with PBE+U.

Properties
**Total energy**: -104.36 eV/f.u.
**Energy above the lowest structure with this stoichiometry**: 0.481 eV/f.u.

a b c (Å): 4.360 4.360 9.087
angles (deg): 90.00 90.00 90.00
Fractional coordinates of all 16 atoms:
Hf1 0.000 0.000 0.000
Mg1 0.000 0.500 0.266
Mg2 0.000 0.500 0.734
Mg3 0.500 0.000 0.266
Mg4 0.500 0.000 0.734
Mg5 0.500 0.500 0.000
Mg6 0.500 0.500 0.500
Cr1 0.000 0.000 0.500
O1 0.000 0.000 0.229
O2 0.000 0.000 0.771
O3 0.000 0.500 0.000
O4 0.000 0.500 0.500
O5 0.500 0.000 0.000
O6 0.500 0.000 0.500
O7 0.500 0.500 0.255
O8 0.500 0.500 0.745


[2]
An optimized crystal structure of HfMg6CrO8, computed with PBE+U.

Properties
**Total energy**: -104.84 eV/f.u.
**Energy above the lowest structure with this stoichiometry**: 0.000 eV/f.u.

a b c (Å): 4.316 4.316 9.001
angles (deg): 90.00 90.00 90.00
Fractional coordinates of all 16 atoms:
Hf1 0.000 0.000 0.000
Mg1 0.000 0.000 0.500
Mg2 0.000 0.500 0.263
Mg3 0.000 0.500 0.737
Mg4 0.500 0.000 0.263
Mg5 0.500 0.000 0.737
Mg6 0.500 0.500 0.500
Cr1 0.500 0.500 0.000
O1 0.000 0.000 0.253
O2 0.000 0.000 0.747
O3 0.000 0.500 0.000
O4 0.000 0.500 0.500
O5 0.500 0.000 0.000
O6 0.500 0.000 0.500
O7 0.500 0.500 0.273
O8 0.500 0.500 0.727


Which of these has the highest total energy? number 1


What is the energy above the lowest structure with this stoichiometry in the second record? 0.000 eV/f.u.


Please write out number 1 again, unchanged.
An optimized crystal structure of HfMg6CrO8, computed with PBE+U.

Properties
**Total energy**: -104.36 eV/f.u.
**Energy above the lowest structure with this stoichiometry**: 0.481 eV/f.u.

a b c (Å): 4.360 4.360 9.087
angles (deg): 90.00 90.00 90.00
Fractional coordinates of all 16 atoms:
Hf1 0.000 0.000 0.000
Mg1 0.000 0.500 0.266
Mg2 0.000 0.500 0.734
Mg3 0.500 0.000 0.266
Mg4 0.500 0.000 0.734
Mg5 0.500 0.500 0.000
Mg6 0.500 0.500 0.500
Cr1 0.000 0.000 0.500
O1 0.000 0.000 0.229
O2 0.000 0.000 0.771
O3 0.000 0.500 0.000
O4 0.000 0.500 0.500
O5 0.500 0.000 0.000
O6 0.500 0.000 0.500
O7 0.500 0.500 0.255
O8 0.500 0.500 0.745